# Ca2TmAgO4

An optimized crystal structure of Ca2TmAgO4 (PBE-GGA, Alexandria).

abc: 5.862 3.422 5.908
angles: 90.00 108.98 90.00
Space group P2/m (No. 10)
Inequivalent atoms, fractional coordinates:
Ca: 0.000 0.000 0.000 [1 per cell]
Ca: 0.000 0.500 0.500 [1 per cell]
Tm: 0.500 0.000 0.500 [1 per cell]
Ag: 0.500 0.500 0.000 [1 per cell]
O: 0.240 0.000 0.717 [2 per cell]
O: 0.258 0.500 0.278 [2 per cell]

Values from the calculation:
Total moment, μB/f.u.: 0.0
Formation energy without anion corrections, eV per formula unit: -20.183
VASP energy, eV per atom: -6.42